Crystalline CsErVF6 at its relaxed geometry. Source: Alexandria, functional GGA+U.

Unit cell a=7.945 b=7.945 c=7.945 alpha=120.89 beta=118.43 gamma=90.60
Positions (direct):
Cs 0.334 0.084 0.250
Cs 0.666 0.916 0.750
Er 0.000 0.500 0.500
Er 0.500 0.500 0.000
V 0.000 0.000 0.500
V 0.000 0.500 0.000
F 0.059 0.419 0.236
F 0.059 0.824 0.640
F 0.066 0.816 0.250
F 0.317 0.176 0.736
F 0.317 0.581 0.140
F 0.323 0.573 0.750
F 0.677 0.427 0.250
F 0.683 0.419 0.860
F 0.683 0.824 0.264
F 0.934 0.184 0.750
F 0.941 0.176 0.360
F 0.941 0.581 0.764

Results
volume = 19.79 Å³ per atom
crystal system = orthorhombic
VASP energy = -108.8 eV for the cell shown
space group = No. 74